Record 1
VASP calculation (PBE-GGA) on a geometry-optimized Te2IrBr structure.

The structure in extended XYZ format:
```
8
Lattice="-0.6321 5.5574 -3.2921 -3.8241 -1.3383 -0.5274 -3.0445 0.8011 7.9229" Properties=species:S:1:pos:R:3 pbc="T T T"
Te -3.3695 4.4332 1.1779
Te -2.1925 1.3677 -0.1298
Br -4.7115 3.4113 4.7753
Te -4.8523 3.5588 -1.8223
Br -5.9228 -0.1755 5.7953
Ir -2.9491 0.3213 2.1841
Ir -4.6406 2.1133 0.4635
Te -5.3972 1.0668 2.7774
```

## Properties
Formation energy from raw total energies ... -0.25 eV per atom
Excess energy over the best structure of this formula in the dataset ... 0.05 eV/f.u.
Calculated volume ... 25.90 A^3/atom
N(E_F) ... 2.91 states/eV per cell

Record 2
VASP calculation (PBE-GGA) on a geometry-optimized Dy4GaSiTe2 structure.

The structure in extended XYZ format:
```
8
Lattice="-3.8668 0.7115 -1.4637 -1.9982 -6.5720 2.0845 -1.2850 4.8798 5.7668" Properties=species:S:1:pos:R:3 pbc="T T T"
Dy -1.4953 2.0924 4.9675
Te -1.6416 -0.8461 3.9256
Dy -1.7879 -3.7846 2.8838
Dy -4.4566 -0.8711 5.3377
Dy -2.6935 -0.1097 1.0499
Si 0.0000 0.0000 0.0000
Ga -2.9325 -2.9302 0.3104
Te -2.5759 2.7956 2.1516
```

## Properties
Formation energy from raw total energies ... -0.99 eV per atom
Calculated volume ... 27.35 A^3/atom
N(E_F) ... 4.34 states/eV per cell